Material: HfVIrN2
Method: DFT, PBE
State: optimized geometry Values from VASP.

Quantum ESPRESSO input file:
```
&SYSTEM
  ibrav = 0, nat = 5, ntyp = 4
/
ATOMIC_SPECIES
Ir 192.22 Ir.upf
N 14.01 N.upf
V 50.94 V.upf
Hf 178.49 Hf.upf
CELL_PARAMETERS angstrom
3.780 0.000 0.000
0.000 4.986 0.000
0.000 0.000 3.780
ATOMIC_POSITIONS crystal
Ir 0.000 0.500 0.000
N 0.500 0.000 0.000
V 0.000 0.000 0.000
Hf 0.500 0.500 0.500
N 0.000 0.000 0.500
```

The volume comes out at 14.25 Å³/atom. The calculation puts the energy at -8.69 eV per atom. The space-group type is P4/mmm, No. 123. For the density of states at the Fermi level, the calculation gives 3.0 states/eV/cell.


Material: Li2GaCu2Pd5
Method: DFT, PBE
State: optimized geometry Values from VASP.

Quantum ESPRESSO input file:
```
&SYSTEM
  ibrav = 0, nat = 20, ntyp = 4
/
ATOMIC_SPECIES
Pd 106.42 Pd.upf
Li 6.94 Li.upf
Cu 63.55 Cu.upf
Ga 69.72 Ga.upf
CELL_PARAMETERS angstrom
3.861 0.000 0.000
0.000 8.960 0.000
0.000 0.000 8.960
ATOMIC_POSITIONS crystal
Pd 0.500 0.803 0.921
Pd 0.500 0.303 0.579
Li 0.000 0.332 0.832
Pd 0.500 0.579 0.697
Cu 0.000 0.627 0.873
Ga 0.000 0.500 0.500
Pd 0.500 0.197 0.079
Cu 0.000 0.873 0.373
Pd 0.500 0.921 0.197
Pd 0.500 0.500 0.000
Li 0.000 0.668 0.168
Pd 0.500 0.697 0.421
Ga 0.000 0.000 0.000
Li 0.000 0.832 0.668
Cu 0.000 0.373 0.127
Pd 0.500 0.000 0.500
Pd 0.500 0.079 0.803
Cu 0.000 0.127 0.627
Pd 0.500 0.421 0.303
Li 0.000 0.168 0.332
```

The formation energy is -0.279 eV/atom. The volume comes out at 15.50 Å³/atom. The space-group type is P4/mbm, No. 127. For the density of states at the Fermi level, the calculation gives 9.1 states/eV/cell.


Material: ErTlSe2O8
Method: DFT, PBE
State: optimized geometry Values from VASP.

Quantum ESPRESSO input file:
```
&SYSTEM
  ibrav = 0, nat = 12, ntyp = 4
/
ATOMIC_SPECIES
O 16.00 O.upf
Se 78.96 Se.upf
Tl 204.38 Tl.upf
Er 167.26 Er.upf
CELL_PARAMETERS angstrom
-4.019 -3.181 1.833
-1.782 -3.811 -3.453
5.564 -5.744 3.039
ATOMIC_POSITIONS crystal
O 0.700 0.230 0.812
O 0.302 0.302 0.605
Se 0.361 0.361 0.784
O 0.770 0.770 0.076
O 0.300 0.770 0.188
O 0.230 0.700 0.812
Tl 0.000 0.000 0.500
O 0.770 0.300 0.188
O 0.230 0.230 0.924
Se 0.639 0.639 0.216
O 0.698 0.698 0.395
Er 0.000 0.000 0.000
```

The volume comes out at 18.98 Å³/atom. The calculation puts the energy at -5.85 eV per atom. The space-group type is C2/m, No. 12. For the density of states at the Fermi level, the calculation gives 0.0 states/eV/cell.


Material: LaTlRe2
Method: DFT, PBE
State: optimized geometry Values from VASP.

Quantum ESPRESSO input file:
```
&SYSTEM
  ibrav = 0, nat = 4, ntyp = 3
/
ATOMIC_SPECIES
Re 186.21 Re.upf
La 138.91 La.upf
Tl 204.38 Tl.upf
CELL_PARAMETERS angstrom
-3.811 -0.325 -3.746
-4.391 -2.902 -0.977
-4.385 2.830 1.714
ATOMIC_POSITIONS crystal
Re 0.492 0.492 0.623
La 0.250 0.250 0.250
Re 0.008 0.008 0.877
Tl 0.750 0.750 0.750
```

The formation energy is 0.573 eV/atom. The value obtained for the offset from the most stable computed form is 0.382 eV per atom. The volume comes out at 24.70 Å³/atom. The space-group type is C2/m, No. 12. For the density of states at the Fermi level, the calculation gives 2.3 states/eV/cell.


Material: In2SbAu
Method: DFT, PBE
State: optimized geometry Values from VASP.

Quantum ESPRESSO input file:
```
&SYSTEM
  ibrav = 0, nat = 4, ntyp = 3
/
ATOMIC_SPECIES
Au 196.97 Au.upf
Sb 121.76 Sb.upf
In 114.82 In.upf
CELL_PARAMETERS angstrom
-0.648 3.467 1.770
-3.654 0.672 -2.654
-5.323 -2.197 2.353
ATOMIC_POSITIONS crystal
Au 0.500 0.750 0.750
Sb 0.500 0.250 0.250
In 0.000 0.535 0.514
In 0.000 0.965 0.986
```

The value obtained for the offset from the most stable computed form is 0.056 eV per atom. The volume comes out at 25.52 Å³/atom. The space-group type is P2/m, No. 10. For the density of states at the Fermi level, the calculation gives 1.7 states/eV/cell.


Material: Na2Mg2Sb
Method: DFT, PBE
State: optimized geometry Values from VASP.

Quantum ESPRESSO input file:
```
&SYSTEM
  ibrav = 0, nat = 5, ntyp = 3
/
ATOMIC_SPECIES
Mg 24.30 Mg.upf
Na 22.99 Na.upf
Sb 121.76 Sb.upf
CELL_PARAMETERS angstrom
-2.302 -3.373 0.590
2.567 -2.170 -2.394
4.672 -4.710 5.723
ATOMIC_POSITIONS crystal
Mg 0.412 0.412 0.175
Na 0.250 0.750 0.500
Sb 0.000 0.000 0.000
Na 0.750 0.250 0.500
Mg 0.588 0.588 0.825
```

The value obtained for the offset from the most stable computed form is 0.213 eV per atom. The volume comes out at 28.13 Å³/atom. The space-group type is I4/mmm, No. 139. For the density of states at the Fermi level, the calculation gives 2.2 states/eV/cell.


Material: Ba2Mg3
Method: DFT, PBE
State: optimized geometry Values from VASP.

Quantum ESPRESSO input file:
```
&SYSTEM
  ibrav = 0, nat = 5, ntyp = 2
/
ATOMIC_SPECIES
Mg 24.30 Mg.upf
Ba 137.33 Ba.upf
CELL_PARAMETERS angstrom
2.988 -5.176 0.000
2.988 5.176 0.000
0.000 0.000 7.386
ATOMIC_POSITIONS crystal
Mg 0.667 0.333 0.671
Ba 0.667 0.333 0.175
Mg 0.000 0.000 0.000
Mg 0.333 0.667 0.329
Ba 0.333 0.667 0.825
```

The formation energy is 0.254 eV/atom. The value obtained for the offset from the most stable computed form is 0.281 eV per atom. The volume comes out at 45.70 Å³/atom. The space-group type is P-3m1, No. 164. For the density of states at the Fermi level, the calculation gives 6.4 states/eV/cell.


Material: KTcAgW2
Method: DFT, PBE
State: optimized geometry Values from VASP.

Quantum ESPRESSO input file:
```
&SYSTEM
  ibrav = 0, nat = 5, ntyp = 4
/
ATOMIC_SPECIES
Ag 107.87 Ag.upf
K 39.10 K.upf
W 183.84 W.upf
Tc 98.00 Tc.upf
CELL_PARAMETERS angstrom
-3.156 -2.197 2.436
2.225 -4.147 -0.858
2.506 0.567 3.758
ATOMIC_POSITIONS crystal
Ag 0.000 0.500 0.000
K 0.000 0.000 0.000
W 0.500 0.000 0.000
W 0.000 0.000 0.500
Tc 0.500 0.500 0.500
```

The formation energy is 3.506 eV/atom. The volume comes out at 19.83 Å³/atom. The space-group type is P4/mmm, No. 123. For the density of states at the Fermi level, the calculation gives 4.8 states/eV/cell.


Material: SiMo2Br
Method: DFT, PBE
State: optimized geometry Values from VASP.

Quantum ESPRESSO input file:
```
&SYSTEM
  ibrav = 0, nat = 4, ntyp = 3
/
ATOMIC_SPECIES
Mo 95.94 Mo.upf
Si 28.09 Si.upf
Br 79.90 Br.upf
CELL_PARAMETERS angstrom
5.083 -0.109 -0.229
1.732 4.780 0.229
-2.707 -3.357 2.702
ATOMIC_POSITIONS crystal
Mo 0.545 0.545 0.000
Si 0.750 0.250 0.500
Mo 0.955 0.955 0.000
Br 0.250 0.750 0.500
```

The value obtained for the offset from the most stable computed form is 0.561 eV per atom. The volume comes out at 17.13 Å³/atom. The space-group type is Immm, No. 71. For the density of states at the Fermi level, the calculation gives 3.3 states/eV/cell.


Material: Hf4ReRu3
Method: DFT, PBE
State: optimized geometry Values from VASP.

Quantum ESPRESSO input file:
```
&SYSTEM
  ibrav = 0, nat = 8, ntyp = 3
/
ATOMIC_SPECIES
Hf 178.49 Hf.upf
Re 186.21 Re.upf
Ru 101.07 Ru.upf
CELL_PARAMETERS angstrom
3.252 0.000 0.000
0.000 4.601 0.000
0.000 0.000 9.180
ATOMIC_POSITIONS crystal
Hf 0.000 0.000 0.000
Re 0.500 0.500 0.000
Hf 0.000 0.500 0.751
Ru 0.500 0.500 0.500
Hf 0.000 0.500 0.249
Hf 0.000 0.000 0.500
Ru 0.500 0.000 0.747
Ru 0.500 0.000 0.253
```

The formation energy is -0.710 eV/atom. The volume comes out at 17.17 Å³/atom. The space-group type is Pmmm, No. 47. For the density of states at the Fermi level, the calculation gives 3.0 states/eV/cell.


Material: Ho3ScCo2
Method: DFT, PBE
State: optimized geometry Values from VASP.

Quantum ESPRESSO input file:
```
&SYSTEM
  ibrav = 0, nat = 6, ntyp = 3
/
ATOMIC_SPECIES
Ho 164.93 Ho.upf
Co 58.93 Co.upf
Sc 44.96 Sc.upf
CELL_PARAMETERS angstrom
3.886 0.000 -1.124
-0.362 4.395 -1.251
0.110 -0.204 7.656
ATOMIC_POSITIONS crystal
Ho 0.500 0.500 0.000
Co 0.623 0.123 0.247
Co 0.377 0.877 0.753
Ho 0.812 0.312 0.624
Sc 0.000 0.000 0.000
Ho 0.188 0.688 0.376
```

The formation energy is -0.087 eV/atom. The value obtained for the offset from the most stable computed form is 0.006 eV per atom. The volume comes out at 21.70 Å³/atom. The space-group type is Immm, No. 71. For the density of states at the Fermi level, the calculation gives 4.3 states/eV/cell.


Material: YTl2P
Method: DFT, PBE
State: optimized geometry Values from VASP.

Quantum ESPRESSO input file:
```
&SYSTEM
  ibrav = 0, nat = 4, ntyp = 3
/
ATOMIC_SPECIES
Tl 204.38 Tl.upf
P 30.97 P.upf
Y 88.91 Y.upf
CELL_PARAMETERS angstrom
4.251 0.000 0.000
0.000 4.251 0.000
0.000 0.000 5.497
ATOMIC_POSITIONS crystal
Tl 0.000 0.500 0.000
P 0.000 0.000 0.500
Y 0.500 0.500 0.500
Tl 0.500 0.000 0.000
```

The formation energy is -0.304 eV/atom. The value obtained for the offset from the most stable computed form is 0.211 eV per atom. The volume comes out at 24.83 Å³/atom. The space-group type is P4/mmm, No. 123. For the density of states at the Fermi level, the calculation gives 1.5 states/eV/cell.


Material: YHoAl
Method: DFT, PBE
State: optimized geometry Values from VASP.

Quantum ESPRESSO input file:
```
&SYSTEM
  ibrav = 0, nat = 6, ntyp = 3
/
ATOMIC_SPECIES
Al 26.98 Al.upf
Y 88.91 Y.upf
Ho 164.93 Ho.upf
CELL_PARAMETERS angstrom
4.729 0.000 0.000
0.000 4.729 0.000
0.000 0.000 7.467
ATOMIC_POSITIONS crystal
Al 0.500 0.500 0.000
Y 0.500 0.000 0.722
Ho 0.000 0.500 0.749
Al 0.000 0.000 0.000
Ho 0.500 0.000 0.251
Y 0.000 0.500 0.278
```

The formation energy is -0.090 eV/atom. The value obtained for the offset from the most stable computed form is 0.175 eV per atom. The volume comes out at 27.83 Å³/atom. The space-group type is P4/nmm, No. 129. For the density of states at the Fermi level, the calculation gives 6.1 states/eV/cell.


Material: Sm2Dy5ErMg
Method: DFT, PBE
State: optimized geometry Values from VASP.

Quantum ESPRESSO input file:
```
&SYSTEM
  ibrav = 0, nat = 18, ntyp = 4
/
ATOMIC_SPECIES
Mg 24.30 Mg.upf
Dy 162.50 Dy.upf
Sm 150.36 Sm.upf
Er 167.26 Er.upf
CELL_PARAMETERS angstrom
-3.214 3.876 -2.009
-3.657 -1.871 9.555
6.405 7.324 3.885
ATOMIC_POSITIONS crystal
Mg 0.595 0.191 0.007
Dy 0.500 0.000 0.258
Dy 0.986 0.972 0.508
Dy 0.618 0.236 0.508
Dy 0.014 0.028 0.008
Sm 0.885 0.770 0.220
Dy 0.289 0.578 0.310
Sm 0.115 0.230 0.720
Dy 0.711 0.422 0.810
Sm 0.115 0.230 0.297
Dy 0.382 0.764 0.008
Er 0.205 0.411 0.008
Dy 0.711 0.422 0.207
Dy 0.500 0.000 0.758
Dy 0.289 0.578 0.707
Er 0.795 0.589 0.508
Sm 0.885 0.770 0.797
Mg 0.405 0.809 0.507
```

The formation energy is 0.099 eV/atom. The volume comes out at 31.68 Å³/atom. The space-group type is Cmc2_1, No. 36. For the density of states at the Fermi level, the calculation gives 25.6 states/eV/cell.


Material: Tb3Pm3Sm2
Method: DFT, PBE
State: optimized geometry Values from VASP.

Quantum ESPRESSO input file:
```
&SYSTEM
  ibrav = 0, nat = 8, ntyp = 3
/
ATOMIC_SPECIES
Tb 158.93 Tb.upf
Pm 145.00 Pm.upf
Sm 150.36 Sm.upf
CELL_PARAMETERS angstrom
-3.949 -1.427 2.901
2.956 -3.448 2.328
3.116 9.404 4.377
ATOMIC_POSITIONS crystal
Tb 0.625 0.625 0.250
Pm 0.876 0.876 0.751
Sm 0.250 0.750 0.499
Tb 0.375 0.375 0.750
Tb 0.500 0.000 0.000
Pm 0.000 0.500 0.000
Sm 0.750 0.250 0.501
Pm 0.124 0.124 0.249
```

The formation energy is 0.016 eV/atom. The value obtained for the offset from the most stable computed form is 0.000 eV per atom. The volume comes out at 33.25 Å³/atom. The space-group type is Immm, No. 71. For the density of states at the Fermi level, the calculation gives 12.0 states/eV/cell.


Material: NaNb2Br
Method: DFT, PBE
State: optimized geometry Values from VASP.

Quantum ESPRESSO input file:
```
&SYSTEM
  ibrav = 0, nat = 8, ntyp = 3
/
ATOMIC_SPECIES
Br 79.90 Br.upf
Nb 92.91 Nb.upf
Na 22.99 Na.upf
CELL_PARAMETERS angstrom
-1.246 2.636 2.452
0.468 -2.454 2.876
11.422 4.199 4.247
ATOMIC_POSITIONS crystal
Br 0.000 0.000 0.000
Nb 0.124 0.625 0.250
Na 0.500 0.500 0.000
Na 0.250 0.750 0.500
Nb 0.626 0.125 0.250
Br 0.750 0.250 0.500
Nb 0.375 0.374 0.750
Nb 0.875 0.876 0.750
```

The value obtained for the offset from the most stable computed form is 0.000 eV per atom. The volume comes out at 22.86 Å³/atom. The space-group type is I-42d, No. 122. For the density of states at the Fermi level, the calculation gives 7.9 states/eV/cell.


Material: SiBP2Au
Method: DFT, PBE
State: optimized geometry Values from VASP.

Quantum ESPRESSO input file:
```
&SYSTEM
  ibrav = 0, nat = 10, ntyp = 4
/
ATOMIC_SPECIES
B 10.81 B.upf
P 30.97 P.upf
Au 196.97 Au.upf
Si 28.09 Si.upf
CELL_PARAMETERS angstrom
3.382 0.000 0.000
0.000 3.641 0.000
0.000 0.000 13.646
ATOMIC_POSITIONS crystal
B 0.000 0.000 0.265
P 0.000 0.500 0.548
Au 0.000 0.000 0.667
Au 0.000 0.500 0.167
P 0.000 0.000 0.048
Si 0.500 0.500 0.444
P 0.500 0.000 0.341
Si 0.500 0.000 0.944
P 0.500 0.500 0.841
B 0.000 0.500 0.765
```

The value obtained for the offset from the most stable computed form is 0.115 eV per atom. The volume comes out at 16.80 Å³/atom. The space-group type is Amm2, No. 38. For the density of states at the Fermi level, the calculation gives 1.1 states/eV/cell.


Material: ErUMnC3
Method: DFT, PBE
State: optimized geometry Values from VASP.

Quantum ESPRESSO input file:
```
&SYSTEM
  ibrav = 0, nat = 12, ntyp = 4
/
ATOMIC_SPECIES
C 12.01 C.upf
U 238.03 U.upf
Mn 54.94 Mn.upf
Er 167.26 Er.upf
CELL_PARAMETERS angstrom
-1.495 1.584 -2.715
-6.088 0.146 3.438
2.083 6.443 2.613
ATOMIC_POSITIONS crystal
C 0.250 0.589 0.871
U 0.750 0.367 0.818
Mn 0.250 0.095 0.583
C 0.750 0.162 0.514
Er 0.750 0.855 0.825
C 0.250 0.838 0.486
C 0.750 0.411 0.129
C 0.250 0.137 0.843
C 0.750 0.863 0.157
Er 0.250 0.145 0.175
Mn 0.750 0.905 0.417
U 0.250 0.633 0.182
```

The formation energy is -0.088 eV/atom. The volume comes out at 14.70 Å³/atom. The space-group type is P2_1/m, No. 11. For the density of states at the Fermi level, the calculation gives 7.3 states/eV/cell.


Material: GaTcBi2N
Method: DFT, PBE
State: optimized geometry Values from VASP.

Quantum ESPRESSO input file:
```
&SYSTEM
  ibrav = 0, nat = 5, ntyp = 4
/
ATOMIC_SPECIES
Bi 208.98 Bi.upf
Tc 98.00 Tc.upf
Ga 69.72 Ga.upf
N 14.01 N.upf
CELL_PARAMETERS angstrom
-1.752 -3.785 -3.372
3.852 0.603 -2.678
2.573 -3.738 2.859
ATOMIC_POSITIONS crystal
Bi 0.000 0.000 0.500
Tc 0.000 0.500 0.000
Ga 0.000 0.000 0.000
Bi 0.500 0.000 0.000
N 0.500 0.500 0.500
```

The volume comes out at 27.22 Å³/atom. The calculation puts the energy at -3.87 eV per atom. The space-group type is P4/mmm, No. 123. For the density of states at the Fermi level, the calculation gives 5.6 states/eV/cell.


Material: BeSnSe2Br
Method: DFT, PBE
State: optimized geometry Values from VASP.

Quantum ESPRESSO input file:
```
&SYSTEM
  ibrav = 0, nat = 5, ntyp = 4
/
ATOMIC_SPECIES
Se 78.96 Se.upf
Sn 118.71 Sn.upf
Be 9.01 Be.upf
Br 79.90 Br.upf
CELL_PARAMETERS angstrom
-4.467 2.838 -0.326
-2.832 -4.479 -0.189
-0.386 0.015 5.422
ATOMIC_POSITIONS crystal
Se 0.500 0.000 0.000
Se 0.000 0.500 0.000
Sn 0.000 0.000 0.000
Be 0.500 0.500 0.500
Br 0.000 0.000 0.500
```

The value obtained for the offset from the most stable computed form is 0.782 eV per atom. The volume comes out at 30.57 Å³/atom. The space-group type is P4/mmm, No. 123. For the density of states at the Fermi level, the calculation gives 2.7 states/eV/cell.